#a
An optimized crystal structure of BMoCl3, computed with PBE.

As for the density of states at the Fermi level: 4.0 states/eV per cell. The calculation puts the total moment at 4.49 μB per formula unit. As for the space-group type: Pm-3m, No. 221. The calculated density comes out at 3.82 g/cm³.

Lattice parameters (Å, degrees): 4.5237 4.5237 4.5237 90.00 90.00 90.00
Element x y z (fractional)
B: 0.0000 0.0000 0.0000
Mo: 0.5000 0.5000 0.5000
Cl: 0.0000 0.0000 0.5000
Cl: 0.0000 0.5000 0.0000
Cl: 0.5000 0.0000 0.0000

---

#b
An optimized crystal structure of BMoCl3, computed with PBE.

As for the density of states at the Fermi level: 4.5 states/eV per cell. The calculation puts the total moment at 3.06 μB per formula unit. As for the space-group type: Pm-3m, No. 221. The calculated density comes out at 2.83 g/cm³.

Lattice parameters (Å, degrees): 4.9981 4.9981 4.9981 90.00 90.00 90.00
Element x y z (fractional)
B: 0.0000 0.0000 0.0000
Mo: 0.5000 0.5000 0.5000
Cl: 0.0000 0.5000 0.5000
Cl: 0.5000 0.0000 0.5000
Cl: 0.5000 0.5000 0.0000

---

#b (180 meV/atom below the next structure)

---

#a
An optimized crystal structure of BMoCl2, computed with PBE.

As for the density of states at the Fermi level: 3.4 states/eV per cell. The calculation puts the total moment at 0.00 μB per formula unit. As for the space-group type: R-3m, No. 166. The calculated density comes out at 4.39 g/cm³.

Lattice parameters (Å, degrees): 8.4365 8.4365 8.4365 20.94 20.94 20.94
Element x y z (fractional)
B: 0.0000 0.0000 0.0000
Mo: 0.5000 0.5000 0.5000
Cl: 0.4059 0.4059 0.4059
Cl: 0.5941 0.5941 0.5941

---

#b
An optimized crystal structure of BMoCl2, computed with PBE.

As for the density of states at the Fermi level: 1.5 states/eV per cell. The calculation puts the total moment at 0.00 μB per formula unit. As for the space-group type: R-3m, No. 166. The calculated density comes out at 4.03 g/cm³.

Lattice parameters (Å, degrees): 9.0888 9.0888 9.0888 19.50 19.50 19.50
Element x y z (fractional)
B: 0.0000 0.0000 0.0000
Mo: 0.5000 0.5000 0.5000
Cl: 0.1015 0.1015 0.1015
Cl: 0.8985 0.8985 0.8985

---

#c
An optimized crystal structure of BMoCl2, computed with PBE.

As for the density of states at the Fermi level: 7.9 states/eV per cell. The calculation puts the total moment at 0.00 μB per formula unit. As for the space-group type: I-42d, No. 122. The calculated density comes out at 3.37 g/cm³.

Lattice parameters (Å, degrees): 6.4639 6.4639 6.4639 124.81 124.81 81.85
Element x y z (fractional)
B: 0.0000 0.0000 0.0000
B: 0.7500 0.2500 0.5000
Mo: 0.2500 0.7500 0.5000
Mo: 0.5000 0.5000 0.0000
Cl: 0.1579 0.6250 0.0329
Cl: 0.3750 0.4079 0.5329
Cl: 0.5921 0.1250 0.9671
Cl: 0.8750 0.8421 0.4671

---

#b (210 meV/atom below the next structure)

---

#a
An optimized crystal structure of B3MoCl, computed with PBE.

As for the density of states at the Fermi level: 6.0 states/eV per cell. The calculation puts the total moment at 1.30 μB per formula unit. As for the space-group type: Pm-3m, No. 221. The calculated density comes out at 3.38 g/cm³.

Lattice parameters (Å, degrees): 4.3177 4.3177 4.3177 90.00 90.00 90.00
Element x y z (fractional)
B: 0.0000 0.0000 0.5000
B: 0.0000 0.5000 0.0000
B: 0.5000 0.0000 0.0000
Mo: 0.0000 0.0000 0.0000
Cl: 0.5000 0.5000 0.5000

---

#b
An optimized crystal structure of B3MoCl, computed with PBE.

As for the density of states at the Fermi level: 3.0 states/eV per cell. The calculation puts the total moment at 0.00 μB per formula unit. As for the space-group type: Pm-3m, No. 221. The calculated density comes out at 4.91 g/cm³.

Lattice parameters (Å, degrees): 3.8130 3.8130 3.8130 90.00 90.00 90.00
Element x y z (fractional)
B: 0.0000 0.0000 0.5000
B: 0.0000 0.5000 0.0000
B: 0.5000 0.0000 0.0000
Mo: 0.5000 0.5000 0.5000
Cl: 0.0000 0.0000 0.0000

---

#a (521 meV/atom below the next structure)

---

#a
An optimized crystal structure of B2MoCl, computed with PBE.

As for the density of states at the Fermi level: 7.6 states/eV per cell. The calculation puts the total moment at 0.00 μB per formula unit. As for the space-group type: I-42d, No. 122. The calculated density comes out at 3.96 g/cm³.

Lattice parameters (Å, degrees): 5.9557 5.9557 5.9557 127.71 127.71 77.10
Element x y z (fractional)
B: 0.0946 0.6250 0.9696
B: 0.3750 0.3446 0.4696
B: 0.6554 0.1250 0.0304
B: 0.8750 0.9054 0.5304
Mo: 0.0000 0.0000 0.0000
Mo: 0.7500 0.2500 0.5000
Cl: 0.2500 0.7500 0.5000
Cl: 0.5000 0.5000 0.0000

---

#b
An optimized crystal structure of B2MoCl, computed with PBE.

As for the density of states at the Fermi level: 2.3 states/eV per cell. The calculation puts the total moment at 0.00 μB per formula unit. As for the space-group type: Fm-3m, No. 225. The calculated density comes out at 5.48 g/cm³.

Lattice parameters (Å, degrees): 4.0314 4.0314 4.0314 60.00 60.00 60.00
Element x y z (fractional)
B: 0.2500 0.2500 0.2500
B: 0.7500 0.7500 0.7500
Mo: 0.0000 0.0000 0.0000
Cl: 0.5000 0.5000 0.5000

---

#a (581 meV/atom below the next structure)

---

#a
An optimized crystal structure of B2MoCl2, computed with PBE.

As for the density of states at the Fermi level: 2.3 states/eV per cell. The calculation puts the total moment at 1.41 μB per formula unit. As for the space-group type: P4/mmm, No. 123. The calculated density comes out at 3.68 g/cm³.

Lattice parameters (Å, degrees): 4.4087 4.4087 4.3784 90.00 90.00 90.00
Element x y z (fractional)
B: 0.0000 0.5000 0.0000
B: 0.5000 0.0000 0.0000
Mo: 0.0000 0.0000 0.0000
Cl: 0.0000 0.5000 0.5000
Cl: 0.5000 0.0000 0.5000

---

#b
An optimized crystal structure of B2MoCl2, computed with PBE.

As for the density of states at the Fermi level: 3.6 states/eV per cell. The calculation puts the total moment at 0.01 μB per formula unit. As for the space-group type: I4/mmm, No. 139. The calculated density comes out at 4.57 g/cm³.

Lattice parameters (Å, degrees): 4.5258 4.5258 4.5258 116.74 116.74 95.75
Element x y z (fractional)
B: 0.1328 0.1328 0.0000
B: 0.8672 0.8672 0.0000
Mo: 0.5000 0.5000 0.0000
Cl: 0.2500 0.7500 0.5000
Cl: 0.7500 0.2500 0.5000

---

#a (46 meV/atom below the next structure)

---

#a
An optimized crystal structure of BMoS2Cl, computed with PBE.

As for the density of states at the Fermi level: 3.9 states/eV per cell. The calculation puts the total moment at 0.00 μB per formula unit. As for the space-group type: P4/mmm, No. 123. The calculated density comes out at 3.20 g/cm³.

Lattice parameters (Å, degrees): 4.6423 4.6423 4.9682 90.00 90.00 90.00
Element x y z (fractional)
B: 0.0000 0.0000 0.0000
Mo: 0.5000 0.5000 0.5000
S: 0.0000 0.5000 0.5000
S: 0.5000 0.0000 0.5000
Cl: 0.5000 0.5000 0.0000

---

#b
An optimized crystal structure of BMoS2Cl, computed with PBE.

As for the density of states at the Fermi level: 2.9 states/eV per cell. The calculation puts the total moment at 3.11 μB per formula unit. As for the space-group type: P4/mmm, No. 123. The calculated density comes out at 4.47 g/cm³.

Lattice parameters (Å, degrees): 4.3339 4.3339 4.0778 90.00 90.00 90.00
Element x y z (fractional)
B: 0.0000 0.0000 0.0000
Mo: 0.5000 0.5000 0.5000
S: 0.0000 0.5000 0.0000
S: 0.5000 0.0000 0.0000
Cl: 0.0000 0.0000 0.5000

---

#a (28 meV/atom below the next structure)